This record from the Alexandria database describes a relaxed structure of ErTh4P5. The functional is PBE-GGA.

Structure (POSCAR):
```
ErTh4P5
1.0
5.245 0.000 2.530
2.623 6.498 1.265
-0.200 0.000 7.118
P Th Er
5 4 1
Cartesian
2.075 3.945 2.413
2.629 0.000 1.268
3.537 5.226 6.085
5.603 2.553 8.504
4.141 1.272 4.832
1.500 1.304 3.605
6.177 5.194 7.313
4.684 3.903 3.707
2.994 2.595 7.211
0.006 0.000 0.003
```

Results
Total moment in μB/f.u.: 0.00
Uncorrected energy in eV per formula unit: -76.82
Formation energy in eV/atom: -1.55
Crystal system: tetragonal
SG: No. 87

This record from the Alexandria database describes a relaxed structure of NdSmCu3. The functional is PBE-GGA.

Structure (POSCAR):
```
NdSmCu3
1.0
3.742 0.000 -0.515
0.000 4.334 0.000
-0.101 0.000 13.108
Sm Cu Nd
2 6 2
Cartesian
0.719 3.251 5.225
2.921 1.084 7.368
2.288 3.251 2.775
1.953 3.251 0.337
1.168 3.251 8.485
1.688 1.084 12.256
2.472 1.084 4.108
1.352 1.084 9.818
0.250 1.084 1.816
3.390 3.251 10.777
```

Results
Total moment in μB/f.u.: 0.00
Uncorrected energy in eV per formula unit: -22.79
Formation energy in eV/atom: -0.20
Crystal system: orthorhombic
SG: No. 63

This record from the Alexandria database describes a relaxed structure of Pm3Zn2Hg3. The functional is PBE-GGA.

Structure (POSCAR):
```
Pm3Zn2Hg3
1.0
4.647 0.000 0.000
-2.324 5.522 0.000
0.000 0.000 15.561
Zn Pm Hg
4 6 6
Cartesian
0.000 2.256 1.615
2.324 3.266 9.396
0.000 2.256 6.165
2.324 3.266 13.946
2.324 4.494 1.616
0.000 1.028 9.396
0.000 4.109 11.671
2.324 1.413 3.890
2.324 4.494 6.165
0.000 1.028 13.945
0.000 3.821 3.890
0.000 4.220 14.878
2.324 1.302 0.683
2.324 1.302 7.098
0.000 4.220 8.464
2.324 1.701 11.671
```

Results
Total moment in μB/f.u.: 0.00
Uncorrected energy in eV per formula unit: -20.82
Formation energy in eV/atom: -0.39
Energy above the lowest structure with this stoichiometry in meV per atom: 0
Crystal system: orthorhombic
SG: No. 63

This record from the Alexandria database describes a relaxed structure of Pu3Sc. The functional is PBE-GGA.

Structure (POSCAR):
```
Pu3Sc
1.0
5.000 0.000 0.000
2.500 4.330 0.000
2.500 1.443 4.083
Pu Sc
3 1
Cartesian
2.500 1.443 1.021
5.000 2.887 2.041
7.500 4.330 3.062
0.000 0.000 0.000
```

Results
Total moment in μB/f.u.: 5.65
Uncorrected energy in eV per formula unit: -48.39
Formation energy in eV/atom: 0.23
Energy above the lowest structure with this stoichiometry in meV per atom: 35
Crystal system: cubic
SG: No. 225

This record from the Alexandria database describes a relaxed structure of GeIr2O. The functional is PBE-GGA.

Structure (POSCAR):
```
GeIr2O
1.0
4.140 0.000 0.000
0.000 4.140 0.000
2.070 2.070 7.084
Ir Ge O
4 2 2
Cartesian
1.315 3.105 1.771
5.175 4.895 5.313
3.105 3.385 5.313
2.825 1.035 1.771
4.140 2.070 3.542
0.000 0.000 0.000
2.070 2.070 0.000
2.070 4.140 3.542
```

Results
Total moment in μB/f.u.: 0.00
Uncorrected energy in eV per formula unit: -26.72
Energy above the lowest structure with this stoichiometry in meV per atom: 0
E_form (uncorrected) in eV/atom: 0.14
Crystal system: tetragonal
SG: No. 122

This record from the Alexandria database describes a relaxed structure of YMg12Cd6. The functional is PBE-GGA.

Structure (POSCAR):
```
YMg12Cd6
1.0
8.071 -0.036 -0.051
-2.036 7.810 -0.051
-2.036 -2.623 7.357
Mg Cd Y
12 6 1
Cartesian
1.999 -1.465 6.496
2.049 2.639 0.972
4.461 3.154 4.442
1.999 6.616 0.758
1.950 5.104 4.442
5.914 -0.464 3.627
-1.915 1.574 6.496
5.914 3.577 0.758
2.049 0.047 2.812
1.950 2.512 6.282
-1.915 5.615 3.627
-0.462 1.997 2.812
3.738 4.815 2.052
0.261 4.801 2.032
3.738 0.350 5.222
-0.587 3.708 5.222
4.586 1.443 2.032
0.261 0.336 5.202
0.000 0.000 0.000
```

Results
Total moment in μB/f.u.: 0.00
Uncorrected energy in eV per formula unit: -30.38
Formation energy in eV/atom: 0.04
Crystal system: trigonal
SG: No. 166

This record from the Alexandria database describes a relaxed structure of Ho11Rh4Pb9. The functional is PBE-GGA.

Structure (POSCAR):
```
Ho11Rh4Pb9
1.0
3.747 0.000 0.000
0.000 12.206 -5.109
0.000 0.099 13.232
Pb Rh Ho
9 4 11
Cartesian
1.874 6.152 4.061
1.874 2.657 -0.199
1.874 0.862 2.522
1.874 10.444 0.553
1.874 4.613 9.386
1.874 9.648 8.321
1.874 1.861 7.569
1.874 7.692 -1.263
1.874 11.443 5.601
1.874 5.517 0.969
1.874 6.788 7.154
1.874 9.246 3.430
1.874 3.059 4.692
0.000 7.200 9.146
0.000 10.259 -2.159
0.000 5.105 -1.024
0.000 0.000 0.000
0.000 4.606 6.404
0.000 7.699 1.719
0.000 2.046 10.282
0.000 8.474 5.594
0.000 11.240 3.026
0.000 3.831 2.529
0.000 1.065 5.097
```

Results
Total moment in μB/f.u.: 0.00
Uncorrected energy in eV per formula unit: -127.63
Formation energy in eV/atom: -0.60
Crystal system: orthorhombic
SG: No. 65

This record from the Alexandria database describes a relaxed structure of SrRuN2. The functional is PBE-GGA.

Structure (POSCAR):
```
SrRuN2
1.0
5.051 0.000 0.000
0.000 5.051 0.000
2.526 2.526 5.111
Ru Sr N
2 2 4
Cartesian
0.000 0.000 0.000
5.051 2.526 2.555
2.526 5.051 2.555
2.526 2.526 0.000
0.716 3.789 1.278
6.314 6.862 3.833
3.789 3.241 3.833
4.336 1.263 1.278
```

Results
Total moment in μB/f.u.: 0.00
Uncorrected energy in eV per formula unit: -28.29
Energy above the lowest structure with this stoichiometry in meV per atom: 48
E_form (uncorrected) in eV/atom: -0.17
Crystal system: tetragonal
SG: No. 122

This record from the Alexandria database describes a relaxed structure of La5Dy2Sn5. The functional is PBE-GGA.

Structure (POSCAR):
```
La5Dy2Sn5
1.0
-0.856 0.548 -4.435
-2.159 -7.423 1.834
-9.631 8.339 2.888
La Dy Sn
5 2 5
Cartesian
-4.872 -0.102 -1.406
-10.992 3.176 2.513
-7.773 1.567 1.693
-5.243 4.444 -0.773
-1.654 -1.712 -2.226
-7.848 5.884 2.241
-4.798 -4.420 -1.954
0.000 0.000 0.000
-8.996 4.188 -0.081
-3.650 -2.723 0.368
-4.688 1.888 1.138
-7.958 -0.424 -0.851
```

Results
Total moment in μB/f.u.: 0.81
Uncorrected energy in eV per formula unit: -60.89
Formation energy in eV/atom: -0.59
Crystal system: monoclinic
SG: No. 12

This record from the Alexandria database describes a relaxed structure of CdTc2Cl. The functional is PBE-GGA.

Structure (POSCAR):
```
CdTc2Cl
1.0
6.286 0.000 0.000
0.000 3.588 0.000
0.000 0.000 3.588
Tc Cl Cd
2 1 1
Cartesian
0.000 0.000 0.000
0.000 1.794 1.794
3.143 0.000 1.794
3.143 1.794 0.000
```

Results
Total moment in μB/f.u.: 0.00
Uncorrected energy in eV per formula unit: -19.68
Energy above the lowest structure with this stoichiometry in meV per atom: 966
E_form (uncorrected) in eV/atom: 0.95
Crystal system: tetragonal
SG: No. 123

This record from the Alexandria database describes a relaxed structure of RbCd2AgF8. The functional is PBE-GGA.

Structure (POSCAR):
```
RbCd2AgF8
1.0
5.159 0.179 -0.003
0.250 5.654 -0.007
0.005 0.009 7.233
Cd F Ag Rb
2 8 1 1
Cartesian
2.708 2.923 5.478
2.706 2.919 1.745
3.231 4.115 3.610
3.465 4.110 7.226
4.543 1.466 1.374
2.183 1.727 3.613
0.868 4.370 1.373
1.948 1.733 -0.003
4.546 1.472 5.850
0.871 4.376 5.849
0.000 0.000 0.000
0.002 0.004 3.616
```

Results
Total moment in μB/f.u.: 0.00
Uncorrected energy in eV per formula unit: -43.04
E_form (uncorrected) in eV/atom: -1.87
Crystal system: monoclinic
SG: No. 10

This record from the Alexandria database describes a relaxed structure of La2NdEu. The functional is PBE-GGA.

Structure (POSCAR):
```
La2NdEu
1.0
5.221 0.000 0.000
0.000 5.324 0.000
0.000 0.000 5.324
La Nd Eu
2 1 1
Cartesian
0.000 2.662 0.000
0.000 0.000 2.662
2.610 0.000 0.000
2.610 2.662 2.662
```

Results
Total moment in μB/f.u.: 7.44
Uncorrected energy in eV per formula unit: -24.67
Formation energy in eV/atom: 0.06
Energy above the lowest structure with this stoichiometry in meV per atom: 25
Crystal system: tetragonal
SG: No. 123

This record from the Alexandria database describes a relaxed structure of VH2Ir. The functional is PBE-GGA.

Structure (POSCAR):
```
VH2Ir
1.0
-0.222 0.232 2.931
0.985 -2.175 1.730
4.586 1.444 1.716
V Ir H
1 1 2
Cartesian
0.000 0.000 0.000
2.675 -0.249 3.188
2.349 -1.177 4.720
3.000 0.679 1.656
```

Results
Total moment in μB/f.u.: 0.21
Uncorrected energy in eV per formula unit: -23.56
Energy above the lowest structure with this stoichiometry in meV per atom: 292
Crystal system: trigonal
SG: No. 166

This record from the Alexandria database describes a relaxed structure of La6Mg2RuN. The functional is PBE-GGA.

Structure (POSCAR):
```
La6Mg2RuN
1.0
-3.294 1.859 6.536
-6.116 -3.880 -2.161
6.745 -3.500 0.003
Mg La N Ru
2 6 1 1
Cartesian
-2.066 -4.226 0.029
-0.606 -1.297 4.346
2.441 -3.014 4.561
-3.347 -3.254 3.255
4.470 -3.553 1.177
-7.143 -1.969 3.197
-5.113 -2.508 -0.187
0.674 -2.266 1.120
-0.003 -0.002 0.000
2.037 -4.511 2.189
```

Results
Total moment in μB/f.u.: 0.00
Uncorrected energy in eV per formula unit: -53.60
E_form (uncorrected) in eV/atom: -0.32
Crystal system: triclinic
SG: No. 2

This record from the Alexandria database describes a relaxed structure of CaCr2Pt. The functional is PBE-GGA.

Structure (POSCAR):
```
CaCr2Pt
1.0
-3.020 -2.903 2.167
0.219 -1.893 -2.230
4.210 -3.136 1.666
Pt Cr Ca
1 2 1
Cartesian
-0.403 -2.709 0.943
1.750 -2.161 -0.455
0.464 -0.354 0.173
1.812 -5.223 0.661
```

Results
Total moment in μB/f.u.: 0.00
Uncorrected energy in eV per formula unit: -26.03
Formation energy in eV/atom: 0.31
Crystal system: monoclinic
SG: No. 10

This record from the Alexandria database describes a relaxed structure of Si2AgOs. The functional is PBE-GGA.

Structure (POSCAR):
```
Si2AgOs
1.0
4.515 0.000 0.000
0.813 4.441 0.000
-2.664 -2.221 2.891
Os Ag Si
1 1 2
Cartesian
2.257 0.000 1.445
0.406 2.221 1.445
0.000 0.000 0.000
2.664 2.221 0.000
```

Results
Total moment in μB/f.u.: 0.00
Uncorrected energy in eV per formula unit: -23.61
Energy above the lowest structure with this stoichiometry in meV per atom: 297
E_form (uncorrected) in eV/atom: 0.33
Crystal system: tetragonal
SG: No. 139

This record from the Alexandria database describes a relaxed structure of LaZnSe. The functional is PBE-GGA.

Structure (POSCAR):
```
LaZnSe
1.0
3.806 0.000 0.015
0.000 3.796 0.000
-0.063 0.000 10.950
Zn Se La
2 2 2
Cartesian
3.191 0.000 1.747
3.159 1.898 7.222
3.173 1.898 3.667
3.142 0.000 9.142
1.265 0.000 5.101
1.233 1.898 10.576
```

Results
Total moment in μB/f.u.: 0.00
Uncorrected energy in eV per formula unit: -12.36
Energy above the lowest structure with this stoichiometry in meV per atom: 280
E_form (uncorrected) in eV/atom: -0.89
Crystal system: monoclinic
SG: No. 8

This record from the Alexandria database describes a relaxed structure of FeTc2Hg. The functional is PBE-GGA.

Structure (POSCAR):
```
FeTc2Hg
1.0
-0.323 -2.228 3.123
3.823 0.074 0.448
-0.341 3.352 2.356
Fe Tc Hg
1 2 1
Cartesian
-0.332 0.562 2.740
0.000 0.000 0.000
1.750 -1.077 1.785
1.741 1.713 1.402
```

Results
Total moment in μB/f.u.: 2.56
Uncorrected energy in eV per formula unit: -27.39
Formation energy in eV/atom: 0.53
Crystal system: tetragonal
SG: No. 123

This record from the Alexandria database describes a relaxed structure of TaNi2Ru. The functional is PBE-GGA.

Structure (POSCAR):
```
TaNi2Ru
1.0
-2.391 2.838 -0.235
-2.653 -2.108 1.529
1.068 1.188 3.491
Ta Ni Ru
1 2 1
Cartesian
-0.792 -0.460 2.510
0.000 0.000 0.000
-2.522 0.365 0.647
-0.661 2.013 1.628
```

Results
Total moment in μB/f.u.: 0.00
Uncorrected energy in eV per formula unit: -33.99
Formation energy in eV/atom: -0.32
Energy above the lowest structure with this stoichiometry in meV per atom: 0
Crystal system: tetragonal
SG: No. 123

This record from the Alexandria database describes a relaxed structure of Ho4IrRh2. The functional is PBE-GGA.

Structure (POSCAR):
```
Ho4IrRh2
1.0
7.323 -0.994 -0.147
-1.535 7.237 0.133
-2.788 -3.216 6.052
Ho Rh Ir
8 4 2
Cartesian
1.501 -0.695 2.240
0.632 1.622 4.557
2.195 4.474 3.799
4.564 3.772 1.478
5.335 0.161 1.425
0.705 2.949 0.772
0.094 -2.292 5.272
-3.024 2.118 4.612
-1.220 -0.316 3.811
2.456 -0.824 5.208
2.772 1.780 2.229
1.991 5.416 0.827
2.994 3.018 6.037
-0.707 3.578 3.090
```

Results
Total moment in μB/f.u.: 0.00
Uncorrected energy in eV per formula unit: -47.33
Formation energy in eV/atom: -0.78
Energy above the lowest structure with this stoichiometry in meV per atom: 21
Crystal system: monoclinic
SG: No. 5

no.,Fermi-level density of states (states/eV per cell)
1,5.211
2,8.276
3,14.560
4,12.320
5,3.499
6,6.489
7,13.677
8,2.876
9,6.740
10,3.796
11,1.336
12,6.762
13,2.612
14,11.183
15,3.509
16,3.317
17,3.894
18,4.026
19,4.670
20,7.947